Here is a geometry-optimized Pa3Ga2Ni6 structure from the Alexandria database. Energies are from PBE.

calculated total energy = -6.765 eV/atom
SG = Im-3m (229)

```
Pa3Ga2Ni6
1.0
-4.403 4.403 4.403
4.403 -4.403 4.403
4.403 4.403 -4.403
Pa Ga Ni
6 4 12
direct
0.000 0.275 0.275 Pa
0.000 0.725 0.725 Pa
0.275 0.000 0.275 Pa
0.275 0.275 0.000 Pa
0.725 0.000 0.725 Pa
0.725 0.725 0.000 Pa
0.000 0.000 0.500 Ga
0.000 0.500 0.000 Ga
0.500 0.000 0.000 Ga
0.500 0.500 0.500 Ga
0.000 0.347 0.653 Ni
0.000 0.653 0.347 Ni
0.306 0.653 0.653 Ni
0.347 0.000 0.653 Ni
0.347 0.347 0.694 Ni
0.347 0.653 0.000 Ni
0.347 0.694 0.347 Ni
0.653 0.000 0.347 Ni
0.653 0.306 0.653 Ni
0.653 0.347 0.000 Ni
0.653 0.653 0.306 Ni
0.694 0.347 0.347 Ni
```


Here is a geometry-optimized LiTcPt2 structure from the Alexandria database. Energies are from PBE.

calculated total energy = -6.150 eV/atom
distance to the lowest polymorph of the same formula = 1.12 eV/f.u.
SG = P4mm (99)

```
LiTcPt2
1.0
2.722 0.000 0.000
0.000 2.722 0.000
0.000 0.000 7.960
Li Tc Pt
1 1 2
direct
0.000 0.000 0.000 Li
0.500 0.500 0.732 Tc
0.000 0.000 0.494 Pt
0.500 0.500 0.225 Pt
```


Here is a geometry-optimized Y2Tm3Th6 structure from the Alexandria database. Energies are from PBE.

calculated total energy = -6.409 eV/atom
SG = R-3m (166)

```
Y2Tm3Th6
1.0
1.783 1.029 31.583
-1.783 1.029 31.583
0.000 -2.059 31.583
Y Tm Th
2 3 6
direct
0.046 0.046 0.046 Y
0.954 0.954 0.954 Y
0.227 0.227 0.227 Tm
0.500 0.500 0.500 Tm
0.773 0.773 0.773 Tm
0.137 0.137 0.137 Th
0.318 0.318 0.318 Th
0.410 0.410 0.410 Th
0.590 0.590 0.590 Th
0.682 0.682 0.682 Th
0.863 0.863 0.863 Th
```


Here is a geometry-optimized ZnCuRh2 structure from the Alexandria database. Energies are from PBE.

calculated total energy = -4.863 eV/atom
SG = Pmmm (47)

```
ZnCuRh2
1.0
2.598 0.000 0.000
0.000 4.165 0.000
0.000 0.000 5.368
Zn Cu Rh
1 1 2
direct
0.000 0.000 0.000 Zn
0.500 0.000 0.500 Cu
0.000 0.500 0.262 Rh
0.000 0.500 0.738 Rh
```


calculated total energy of number 2 (LiTcPt2)? -6.150 eV/atom